Record 1
RbScTeN2: relaxed, PBEsol.

It has space group P4/mmm (No. 123), with a = 4.727 Å, b = 4.727 Å, c = 6.553 Å, α = 90.00°, β = 90.00° and γ = 90.00°. The distinct sites, in fractional coordinates, are Rb at (0.000, 0.000, 0.000), Sc at (0.500, 0.500, 0.500), Te at (0.000, 0.000, 0.500) and N at (0.000, 0.500, 0.000).

The excess energy over the best structure of this formula in the dataset is 1480 meV per atom.


Record 2
Rb3SeN: relaxed, PBEsol.

It has space group Pm-3m (No. 221), with a = 6.448 Å, b = 6.448 Å, c = 6.448 Å, α = 90.00°, β = 90.00° and γ = 90.00°. The distinct sites, in fractional coordinates, are Rb at (0.000, 0.000, 0.500), Se at (0.000, 0.000, 0.000) and N at (0.500, 0.500, 0.500).


For the records above, the corresponding size of the total moment values read 4.00, 2.00 Bohr magnetons per cell.
For the records above, the corresponding raw formation energy values read 1869, 296 meV per atom.